(1)
Entry from the Alexandria database: BaCa3La after structural relaxation (PBE-GGA).

CIF file:
```
data_BaCa3La
_chemical_formula_sum 'Ba1 Ca3 La1'
_cell_length_a 6.293
_cell_length_b 6.293
_cell_length_c 6.293
_cell_angle_alpha 90.00
_cell_angle_beta 90.00
_cell_angle_gamma 90.00
_symmetry_space_group_name_H-M 'P 1'
_symmetry_Int_Tables_number 1
loop_
_symmetry_equiv_pos_as_xyz
'x,y,z'
loop_
_atom_site_label
_atom_site_fract_x
_atom_site_fract_y
_atom_site_fract_z
Ca1 0.500 0.000 0.000
Ca2 0.000 0.500 0.000
La1 0.000 0.000 0.000
Ba1 0.500 0.500 0.500
Ca3 0.000 0.000 0.500
```

## Properties
- SG = No. 221
- total energy (eV/atom) = -2.060
- formation enthalpy at 0 K (meV per atom) = 511
- offset from the most stable computed form (kcal/mol of atoms) = 0.00

(2)
Entry from the Alexandria database: Ni2AsPt after structural relaxation (PBE-GGA).

CIF file:
```
data_Ni2AsPt
_chemical_formula_sum 'Ni2 As1 Pt1'
_cell_length_a 3.750
_cell_length_b 2.843
_cell_length_c 5.314
_cell_angle_alpha 71.98
_cell_angle_beta 90.00
_cell_angle_gamma 90.00
_symmetry_space_group_name_H-M 'P 1'
_symmetry_Int_Tables_number 1
loop_
_symmetry_equiv_pos_as_xyz
'x,y,z'
loop_
_atom_site_label
_atom_site_fract_x
_atom_site_fract_y
_atom_site_fract_z
As1 0.500 0.750 0.750
Ni1 0.000 0.905 0.981
Ni2 0.000 0.595 0.519
Pt1 0.500 0.250 0.250
```

## Properties
- SG = No. 10
- total energy (eV/atom) = -5.663
- formation enthalpy at 0 K (meV per atom) = -100

For each record above, in turn, the calculated D(E_F) values are 2.563 0.905 states/eV per atom.